No. 1
First-principles (PBE-GGA) data for CdPtPb2 after structural relaxation, as listed in Alexandria.

```
CdPtPb2
1.0
0.0000 3.6338 3.6338
3.6338 0.0000 3.6338
3.6338 3.6338 0.0000
Cd Pt Pb
1 1 2
direct
0.0000 0.0000 0.0000 Cd
0.2500 0.2500 0.2500 Pt
0.5000 0.5000 0.5000 Pb
0.7500 0.7500 0.7500 Pb
```

Properties
- formation enthalpy at 0 K (eV per atom) = 0.161
- space group = F-43m (216)

=====

No. 2
First-principles (PBE-GGA) data for Na2Ce3Br8 after structural relaxation, as listed in Alexandria.

```
Na2Ce3Br8
1.0
7.4892 -4.2111 0.0000
7.4892 4.2111 0.0000
-0.2034 0.0000 6.9295
Na Ce Br
2 3 8
direct
0.2296 0.2296 0.0357 Na
0.7704 0.7704 0.9643 Na
0.2781 0.7219 0.5000 Ce
0.5000 0.5000 0.0000 Ce
0.7219 0.2781 0.5000 Ce
0.1056 0.1056 0.3481 Br
0.1311 0.6103 0.1561 Br
0.3625 0.3625 0.6657 Br
0.3897 0.8689 0.8439 Br
0.6103 0.1311 0.1561 Br
0.6375 0.6375 0.3343 Br
0.8689 0.3897 0.8439 Br
0.8944 0.8944 0.6519 Br
```

Properties
- E_form (uncorrected) (eV per atom) = -1.577
- space group = C2/m (12)

=====

No. 3
First-principles (PBE-GGA) data for ZrAlAu after structural relaxation, as listed in Alexandria.

```
ZrAlAu
1.0
5.1041 -2.1988 0.0000
5.1041 2.1988 0.0000
-4.1233 0.0000 5.0208
Zr Al Au
2 2 2
direct
0.0302 0.0302 0.2828 Zr
0.9698 0.9698 0.7172 Zr
0.3363 0.3363 0.8749 Al
0.6637 0.6637 0.1251 Al
0.3276 0.3276 0.2899 Au
0.6724 0.6724 0.7101 Au
```

Properties
- formation enthalpy at 0 K (eV per atom) = -0.573
- space group = C2/m (12)

=====

| no. | total magnetization (μB per formula unit) |
| --- | --- |
| 1 | 0.0 |
| 2 | 6.0 |
| 3 | 0.0 |